A plane-wave DFT calculation with PBE was carried out for a geometry-optimized DyY5Sc2 structure.

formation enthalpy at 0 K = 0.628 kcal/mol of atoms
energy above the most stable polymorph in this dataset = 0.00 eV per formula unit

The structure in CIF format:
```
data_DyY5Sc2
_chemical_formula_sum 'Dy4 Y20 Sc8'
_cell_length_a 7.146
_cell_length_b 11.071
_cell_length_c 12.332
_cell_angle_alpha 90.00
_cell_angle_beta 90.00
_cell_angle_gamma 90.00
_symmetry_space_group_name_H-M 'F m m 2'
_symmetry_Int_Tables_number 42
_symmetry_space_group_name_Hall 'F 2 -2'
loop_
_atom_site_label
_atom_site_type_symbol
_atom_site_fract_x
_atom_site_fract_y
_atom_site_fract_z
_atom_site_occupancy
Dy1 Dy 0.000 0.000 0.000 1
Y1 Y 0.000 0.000 0.500 1
Y2 Y 0.250 0.000 0.254 1
Y3 Y 0.250 0.250 0.084 1
Sc1 Sc 0.000 0.249 0.836 1
```